VASP calculation (PBE with a Hubbard U) on a relaxed structure of NaMn3O.

a = 4.522 Å, b = 4.522 Å, c = 4.522 Å
α = 90.00°, β = 90.00°, γ = 90.00°
Site moments in Bohr magnetons follow the coordinates.
Sites, in units of the cell vectors:
Mn1 0.000 0.000 0.500  4.57
O1 0.000 0.000 0.000  0.07
Mn2 0.500 0.000 0.000  4.40
Mn3 0.000 0.500 0.000  4.50
Na1 0.500 0.500 0.500  -0.03

Properties
Total energy ... -5.710 eV/atom
Volume ... 92.5 Å³/cell
Calculated density ... 3.7 g/cm³
Energy above the most stable polymorph in this dataset ... 0 meV/atom